Entry from Alexandria: Li2SiTcCl after structural relaxation (PBE).

Values from the calculation:
For the uncorrected formation energy, the calculation gives 2.49 eV/f.u. For the density of states at the Fermi level, the calculation gives 9.7 states/eV/cell. For the size of the total moment, the calculation gives 1.93 μB/f.u.

Lattice parameters (Å, degrees): 5.291 5.291 4.556 90.00 90.00 90.00
Space group P4/mmm (No. 123)
Unique sites:
Li: 0.000 0.500 0.000 (multiplicity 2)
Si: 0.000 0.000 0.500 (multiplicity 1)
Tc: 0.000 0.000 0.000 (multiplicity 1)
Cl: 0.500 0.500 0.500 (multiplicity 1)

---

Entry from Alexandria: Cs2SmOsO6 after structural relaxation (PBE).

Values from the calculation:
For the uncorrected formation energy, the calculation gives -17.32 eV/f.u. For the density of states at the Fermi level, the calculation gives 5.4 states/eV/cell. For the size of the total moment, the calculation gives 1.05 μB/f.u.

Lattice parameters (Å, degrees): 6.7088 6.7088 5.9201 90.00 90.00 120.00
Space group P-3m1 (No. 164)
Unique sites:
Cs: 0.3333 0.6667 0.3690 (multiplicity 2)
Sm: 0.0000 0.0000 0.0000 (multiplicity 1)
Os: 0.0000 0.0000 0.5000 (multiplicity 1)
O: 0.1309 0.2617 0.6986 (multiplicity 6)

---

Entry from Alexandria: Sm3Tm2Ru2 after structural relaxation (PBE).

Values from the calculation:
The formation energy from the elements comes out at -2.0 eV per formula unit. For the density of states at the Fermi level, the calculation gives 5.2 states/eV/cell. For the size of the total moment, the calculation gives 0.00 μB/f.u.

Lattice parameters (Å, degrees): 3.924 6.332 8.450 68.31 89.94 71.97
Space group P-1 (No. 2)
Unique sites:
Sm: 0.000 0.000 0.000 (multiplicity 1)
Sm: 0.120 0.760 0.430 (multiplicity 2)
Tm: 0.330 0.339 0.182 (multiplicity 2)
Ru: 0.317 0.365 0.781 (multiplicity 2)

---

Entry from Alexandria: LaPmCuPb after structural relaxation (PBE).

Values from the calculation:
The formation energy from the elements comes out at -1.3 eV per formula unit. For the density of states at the Fermi level, the calculation gives 17.0 states/eV/cell. For the size of the total moment, the calculation gives 0.47 μB/f.u.

Lattice parameters (Å, degrees): 7.649 7.649 7.649 90.00 90.00 90.00
Space group F-43m (No. 216)
Unique sites:
La: 0.000 0.000 0.000 (multiplicity 4)
Pm: 0.000 0.000 0.500 (multiplicity 4)
Cu: 0.250 0.250 0.750 (multiplicity 4)
Pb: 0.250 0.250 0.250 (multiplicity 4)

---

Entry from Alexandria: SrCdFe2 after structural relaxation (PBE).

Values from the calculation:
The formation energy from the elements comes out at 1.5 eV per formula unit. For the density of states at the Fermi level, the calculation gives 6.4 states/eV/cell. For the size of the total moment, the calculation gives 4.98 μB/f.u.

Lattice parameters (Å, degrees): 8.699 4.057 5.869 90.00 113.67 90.00
Space group C2/m (No. 12)
Unique sites:
Sr: 0.000 0.000 0.000 (multiplicity 2)
Cd: 0.000 0.500 0.500 (multiplicity 2)
Fe: 0.219 0.000 0.583 (multiplicity 4)

---

Entry from Alexandria: LiCe2ErSe4 after structural relaxation (PBE).

Values from the calculation:
For the uncorrected formation energy, the calculation gives -13.67 eV/f.u. For the density of states at the Fermi level, the calculation gives 12.4 states/eV/cell. For the size of the total moment, the calculation gives 2.45 μB/f.u.

Lattice parameters (Å, degrees): 7.099 4.110 7.159 90.00 109.37 90.00
Space group P2/m (No. 10)
Unique sites:
Li: 0.000 0.000 0.000 (multiplicity 1)
Ce: 0.000 0.500 0.500 (multiplicity 1)
Ce: 0.500 0.000 0.500 (multiplicity 1)
Er: 0.500 0.500 0.000 (multiplicity 1)
Se: 0.242 0.500 0.231 (multiplicity 2)
Se: 0.252 0.000 0.768 (multiplicity 2)

---

Entry from Alexandria: CaPbBr4 after structural relaxation (PBE).

Values from the calculation:
For the uncorrected formation energy, the calculation gives -1.03 eV/f.u. For the density of states at the Fermi level, the calculation gives 32.7 states/eV/cell. For the size of the total moment, the calculation gives 0.63 μB/f.u.

Lattice parameters (Å, degrees): 9.115 9.115 9.115 90.00 90.00 90.00
Space group F-43m (No. 216)
Unique sites:
Ca: 0.000 0.000 0.000 (multiplicity 4)
Pb: 0.250 0.250 0.750 (multiplicity 4)
Br: 0.126 0.126 0.374 (multiplicity 16)

---

Entry from Alexandria: PmScCdRu after structural relaxation (PBE).

Values from the calculation:
The formation energy from the elements comes out at -1.5 eV per formula unit. For the density of states at the Fermi level, the calculation gives 3.8 states/eV/cell. For the size of the total moment, the calculation gives 0.00 μB/f.u. The energy above the most stable polymorph in this dataset comes out at 0.00 eV/f.u.

Lattice parameters (Å, degrees): 3.408 3.408 7.559 90.00 90.00 90.00
Space group P4mm (No. 99)
Unique sites:
Pm: 0.000 0.000 0.000 (multiplicity 1)
Sc: 0.000 0.000 0.569 (multiplicity 1)
Cd: 0.500 0.500 0.317 (multiplicity 1)
Ru: 0.500 0.500 0.757 (multiplicity 1)

---

Entry from Alexandria: TaCoRe2 after structural relaxation (PBE).

Values from the calculation:
The formation energy from the elements comes out at 0.6 eV per formula unit. For the density of states at the Fermi level, the calculation gives 7.1 states/eV/cell. For the size of the total moment, the calculation gives 0.16 μB/f.u. The energy above the most stable polymorph in this dataset comes out at 0.69 eV/f.u.

Lattice parameters (Å, degrees): 5.428 7.856 2.779 90.00 90.00 90.00
Space group Cmmm (No. 65)
Unique sites:
Ta: 0.000 0.000 0.000 (multiplicity 2)
Co: 0.000 0.500 0.000 (multiplicity 2)
Re: 0.250 0.250 0.500 (multiplicity 4)

---

Entry from Alexandria: Pm3GeRh2 after structural relaxation (PBE).

Values from the calculation:
The formation energy from the elements comes out at -4.0 eV per formula unit. For the density of states at the Fermi level, the calculation gives 3.8 states/eV/cell. For the size of the total moment, the calculation gives 0.00 μB/f.u. The energy above the most stable polymorph in this dataset comes out at 0.26 eV/f.u.

Lattice parameters (Å, degrees): 3.490 3.490 11.184 90.00 90.00 90.00
Space group P4/mmm (No. 123)
Unique sites:
Pm: 0.000 0.000 0.000 (multiplicity 1)
Pm: 0.000 0.000 0.318 (multiplicity 2)
Ge: 0.500 0.500 0.500 (multiplicity 1)
Rh: 0.500 0.500 0.158 (multiplicity 2)

---

Entry from Alexandria: Zr2ScRe after structural relaxation (PBE).

Values from the calculation:
The formation energy from the elements comes out at 0.2 eV per formula unit. For the density of states at the Fermi level, the calculation gives 9.0 states/eV/cell. For the size of the total moment, the calculation gives 0.00 μB/f.u.

Lattice parameters (Å, degrees): 3.297 5.057 9.806 90.00 90.00 90.00
Space group Cmm2 (No. 35)
Unique sites:
Zr: 0.000 0.000 0.000 (multiplicity 2)
Zr: 0.000 0.500 0.278 (multiplicity 2)
Sc: 0.000 0.000 0.565 (multiplicity 2)
Re: 0.000 0.500 0.783 (multiplicity 2)

---

Entry from Alexandria: NdB4ClO8 after structural relaxation (PBE).

Values from the calculation:
For the uncorrected formation energy, the calculation gives -31.44 eV/f.u. For the density of states at the Fermi level, the calculation gives 16.0 states/eV/cell. For the size of the total moment, the calculation gives 2.00 μB/f.u.

Lattice parameters (Å, degrees): 6.601 11.342 9.746 90.00 106.90 90.00
Space group Cc (No. 9)
Unique sites:
Nd: 0.000 0.206 0.000 (multiplicity 4)
B: 0.033 0.466 0.566 (multiplicity 4)
B: 0.101 0.254 0.642 (multiplicity 4)
B: 0.188 0.053 0.577 (multiplicity 4)
B: 0.352 0.404 0.122 (multiplicity 4)
Cl: 0.149 0.182 0.304 (multiplicity 4)
O: 0.115 0.261 0.795 (multiplicity 4)
O: 0.125 0.427 0.060 (multiplicity 4)
O: 0.152 0.365 0.585 (multiplicity 4)
O: 0.255 0.165 0.617 (multiplicity 4)
O: 0.317 0.038 0.052 (multiplicity 4)
O: 0.381 0.283 0.076 (multiplicity 4)
O: 0.416 0.405 0.279 (multiplicity 4)
O: 0.487 0.486 0.067 (multiplicity 4)

---

Entry from Alexandria: Ca2NdIn after structural relaxation (PBE).

Values from the calculation:
The formation energy from the elements comes out at -0.2 eV per formula unit. For the density of states at the Fermi level, the calculation gives 19.1 states/eV/cell. For the size of the total moment, the calculation gives 1.17 μB/f.u. The energy above the most stable polymorph in this dataset comes out at 0.73 eV/f.u.

Lattice parameters (Å, degrees): 8.030 8.030 8.030 90.00 90.00 90.00
Space group Fm-3m (No. 225)
Unique sites:
Ca: 0.250 0.250 0.250 (multiplicity 8)
Nd: 0.000 0.000 0.000 (multiplicity 4)
In: 0.000 0.000 0.500 (multiplicity 4)

---

Entry from Alexandria: NdTi4S8 after structural relaxation (PBE).

Values from the calculation:
For the uncorrected formation energy, the calculation gives -19.55 eV/f.u. For the density of states at the Fermi level, the calculation gives 26.4 states/eV/cell. For the size of the total moment, the calculation gives 0.43 μB/f.u.

Lattice parameters (Å, degrees): 6.9083 6.9083 20.1019 90.00 90.00 120.00
Space group R-3m (No. 166, hexagonal axes)
Unique sites:
Nd: 0.0000 0.0000 0.0000 (multiplicity 3)
Ti: 0.0000 0.0000 0.5000 (multiplicity 3)
Ti: 0.0000 0.5000 0.5000 (multiplicity 9)
S: 0.0000 0.0000 0.2361 (multiplicity 6)
S: 0.0075 0.5037 0.2389 (multiplicity 18)

---

Entry from Alexandria: Th6Fe2Bi after structural relaxation (PBE).

Values from the calculation:
The formation energy from the elements comes out at -0.8 eV per formula unit. For the density of states at the Fermi level, the calculation gives 43.1 states/eV/cell. For the size of the total moment, the calculation gives 0.00 μB/f.u.

Lattice parameters (Å, degrees): 9.203 10.089 10.768 90.00 90.00 90.00
Space group Immm (No. 71)
Unique sites:
Th: 0.000 0.218 0.224 (multiplicity 8)
Th: 0.192 0.180 0.500 (multiplicity 8)
Th: 0.199 0.500 0.318 (multiplicity 8)
Fe: 0.000 0.000 0.366 (multiplicity 4)
Fe: 0.000 0.373 0.500 (multiplicity 4)
Bi: 0.000 0.000 0.000 (multiplicity 2)
Bi: 0.000 0.500 0.000 (multiplicity 2)

---

Entry from Alexandria: Tb16Ho6Tm7 after structural relaxation (PBE).

Values from the calculation:
The formation energy from the elements comes out at 6.7 eV per formula unit. For the density of states at the Fermi level, the calculation gives 194.2 states/eV/cell. For the size of the total moment, the calculation gives 0.00 μB/f.u.

Lattice parameters (Å, degrees): 15.605 15.605 15.605 90.00 90.00 90.00
Space group Fm-3m (No. 225)
Unique sites:
Tb: 0.123 0.123 0.123 (multiplicity 32)
Tb: 0.151 0.151 0.349 (multiplicity 32)
Ho: 0.000 0.000 0.277 (multiplicity 24)
Tm: 0.000 0.000 0.000 (multiplicity 4)
Tm: 0.000 0.250 0.250 (multiplicity 24)

---

Entry from Alexandria: TiCr2HIr after structural relaxation (PBE).

Values from the calculation:
For the density of states at the Fermi level, the calculation gives 6.7 states/eV/cell. For the size of the total moment, the calculation gives 6.72 μB/f.u. The energy above the most stable polymorph in this dataset comes out at 7.44 eV/f.u.

Lattice parameters (Å, degrees): 4.814 4.814 4.745 90.00 90.00 90.00
Space group P4/mmm (No. 123)
Unique sites:
Ti: 0.000 0.000 0.000 (multiplicity 1)
Cr: 0.000 0.500 0.500 (multiplicity 2)
H: 0.500 0.500 0.000 (multiplicity 1)
Ir: 0.000 0.000 0.500 (multiplicity 1)

---

Entry from Alexandria: ZrSc after structural relaxation (PBE).

Values from the calculation:
The formation energy from the elements comes out at 4.8 eV per formula unit. For the density of states at the Fermi level, the calculation gives 26.4 states/eV/cell. For the size of the total moment, the calculation gives 0.00 μB/f.u.

Lattice parameters (Å, degrees): 7.815 7.815 7.815 90.00 90.00 90.00
Space group Pm-3n (No. 223)
Unique sites:
Zr: 0.000 0.250 0.500 (multiplicity 6)
Sc: 0.000 0.500 0.250 (multiplicity 6)

---

Entry from Alexandria: Li3DyPb4 after structural relaxation (PBE).

Values from the calculation:
The formation energy from the elements comes out at -2.5 eV per formula unit. For the density of states at the Fermi level, the calculation gives 2.1 states/eV/cell. For the size of the total moment, the calculation gives 0.00 μB/f.u.

Lattice parameters (Å, degrees): 4.248 4.787 9.665 90.00 90.00 90.00
Space group Pmmm (No. 47)
Unique sites:
Li: 0.000 0.000 0.000 (multiplicity 1)
Li: 0.000 0.500 0.232 (multiplicity 2)
Dy: 0.000 0.000 0.500 (multiplicity 1)
Pb: 0.500 0.000 0.236 (multiplicity 2)
Pb: 0.500 0.500 0.000 (multiplicity 1)
Pb: 0.500 0.500 0.500 (multiplicity 1)

---

Entry from Alexandria: Mg9AlIn2 after structural relaxation (PBE).

Values from the calculation:
The formation energy from the elements comes out at -0.7 eV per formula unit. For the density of states at the Fermi level, the calculation gives 4.3 states/eV/cell. For the size of the total moment, the calculation gives 0.00 μB/f.u.

Lattice parameters (Å, degrees): 4.456 4.456 13.378 90.00 90.00 90.00
Space group P4/mmm (No. 123)
Unique sites:
Mg: 0.000 0.000 0.000 (multiplicity 1)
Mg: 0.000 0.000 0.330 (multiplicity 2)
Mg: 0.000 0.500 0.159 (multiplicity 4)
Mg: 0.000 0.500 0.500 (multiplicity 2)
Al: 0.500 0.500 0.000 (multiplicity 1)
In: 0.500 0.500 0.330 (multiplicity 2)

---

Entry from Alexandria: CdSbOsAu2 after structural relaxation (PBE).

Values from the calculation:
For the uncorrected formation energy, the calculation gives 5.45 eV/f.u. For the density of states at the Fermi level, the calculation gives 5.1 states/eV/cell. For the size of the total moment, the calculation gives 1.38 μB/f.u.

Lattice parameters (Å, degrees): 5.038 5.038 5.136 90.00 90.00 90.00
Space group P4/mmm (No. 123)
Unique sites:
Cd: 0.000 0.000 0.000 (multiplicity 1)
Sb: 0.500 0.500 0.000 (multiplicity 1)
Os: 0.000 0.000 0.500 (multiplicity 1)
Au: 0.000 0.500 0.500 (multiplicity 2)

---

Entry from Alexandria: TiTlPtO4 after structural relaxation (PBE).

Values from the calculation:
For the uncorrected formation energy, the calculation gives -9.87 eV/f.u. For the density of states at the Fermi level, the calculation gives 9.1 states/eV/cell. For the size of the total moment, the calculation gives 0.00 μB/f.u.

Lattice parameters (Å, degrees): 5.745 5.964 11.703 90.00 90.00 90.00
Space group Imma (No. 74)
Unique sites:
Ti: 0.000 0.000 0.000 (multiplicity 4)
Tl: 0.000 0.250 0.343 (multiplicity 4)
Pt: 0.250 0.250 0.750 (multiplicity 4)
O: 0.000 0.041 0.820 (multiplicity 8)
O: 0.218 0.250 0.012 (multiplicity 8)

---

Entry from Alexandria: Mg2TeOs after structural relaxation (PBE).

Values from the calculation:
For the uncorrected formation energy, the calculation gives 0.59 eV/f.u. For the density of states at the Fermi level, the calculation gives 3.3 states/eV/cell. For the size of the total moment, the calculation gives 0.00 μB/f.u.

Lattice parameters (Å, degrees): 3.411 4.371 5.581 90.00 107.71 90.00
Space group Pm (No. 6)
Unique sites:
Mg: 0.000 0.000 0.000 (multiplicity 1)
Mg: 0.332 0.500 0.660 (multiplicity 1)
Te: 0.727 0.000 0.453 (multiplicity 1)
Os: 0.592 0.500 0.182 (multiplicity 1)